Entry from Alexandria: a geometry-optimized Tb4Al2Tl structure (PBE).

The structure in CIF format:
```
data_Tb4Al2Tl
_cell_length_a 5.1594
_cell_length_b 5.1594
_cell_length_c 25.1263
_cell_angle_alpha 90.00
_cell_angle_beta 90.00
_cell_angle_gamma 120.00
_space_group_name_H-M_alt 'R -3 m'
_space_group_IT_number 166
_space_group_name_Hall '-R 3 2"'
loop_
_atom_site_label
_atom_site_fract_x
_atom_site_fract_y
_atom_site_fract_z
Tb1 0.0000 0.0000 0.1160
Tb2 0.0000 0.0000 0.3694
Al1 0.0000 0.0000 0.2490
Tl1 0.0000 0.0000 0.5000
```

ΔH_f (0 K) (eV/f.u.): -1.535
Volume (Å³/cell): 579
Offset from the most stable computed form (meV per atom): 0


Entry from Alexandria: a geometry-optimized TbYAlTl structure (PBE).

The structure in CIF format:
```
data_TbYAlTl
_cell_length_a 7.437
_cell_length_b 7.437
_cell_length_c 7.437
_cell_angle_alpha 90.00
_cell_angle_beta 90.00
_cell_angle_gamma 90.00
_space_group_name_H-M_alt 'F -4 3 m'
_space_group_IT_number 216
_space_group_name_Hall 'F -4 2 3'
loop_
_atom_site_label
_atom_site_fract_x
_atom_site_fract_y
_atom_site_fract_z
Tb1 0.000 0.000 0.000
Y1 0.000 0.000 0.500
Al1 0.250 0.250 0.250
Tl1 0.250 0.250 0.750
```

ΔH_f (0 K) (eV/f.u.): -1.418
Volume (Å³/cell): 411
Offset from the most stable computed form (meV per atom): 23


Entry from Alexandria: a geometry-optimized TbYAlTl structure (PBE).

The structure in CIF format:
```
data_TbYAlTl
_cell_length_a 3.644
_cell_length_b 3.644
_cell_length_c 7.742
_cell_angle_alpha 90.00
_cell_angle_beta 90.00
_cell_angle_gamma 90.00
_space_group_name_H-M_alt 'P 4 m m'
_space_group_IT_number 99
loop_
_space_group_symop_operation_xyz
'x,y,z'
'-y,x,z'
'-x,-y,z'
'y,-x,z'
'-x,y,z'
'y,x,z'
'x,-y,z'
'-y,-x,z'
loop_
_atom_site_label
_atom_site_fract_x
_atom_site_fract_y
_atom_site_fract_z
Tb1 0.000 0.000 0.000
Y1 0.000 0.000 0.529
Al1 0.500 0.500 0.764
Tl1 0.500 0.500 0.265
```

ΔH_f (0 K) (eV/f.u.): -1.510
Volume (Å³/cell): 103
Offset from the most stable computed form (meV per atom): 0


- Which formula does entry 3 have?
  TbYAlTl